[1]
Here is an optimized crystal structure of CePuSnPd from Alexandria. Energies are from PBE-GGA.

## Properties
The value obtained for the total DFT energy (no corrections) is -7.77 eV/atom. As for the formation energy: -0.40 eV per atom.

Unit cell a=5.244 b=5.244 c=5.244 alpha=60.00 beta=60.00 gamma=60.00
Atoms (fractional coordinates):
Ce: 0.000 0.000 0.000
Pu: 0.500 0.500 0.500
Sn: 0.250 0.250 0.250
Pd: 0.750 0.750 0.750

=====

[2]
Here is an optimized crystal structure of Tm5Sc3In from Alexandria. Energies are from PBE-GGA.

## Properties
The value obtained for the total DFT energy (no corrections) is -4.52 eV/atom. As for the formation energy: 0.38 eV per atom.

Unit cell a=9.037 b=9.037 c=9.415 alpha=121.24 beta=121.24 gamma=74.45
Atoms (fractional coordinates):
Tm: 0.107 0.616 0.470
Tm: 0.227 0.227 0.221
Tm: 0.242 0.758 0.000
Tm: 0.246 0.246 0.890
Tm: 0.384 0.893 0.530
Tm: 0.616 0.107 0.470
Tm: 0.754 0.754 0.110
Tm: 0.758 0.242 0.000
Tm: 0.773 0.773 0.779
Tm: 0.893 0.384 0.530
Sc: 0.000 0.000 0.500
Sc: 0.021 0.021 0.209
Sc: 0.480 0.480 0.322
Sc: 0.500 0.500 0.000
Sc: 0.520 0.520 0.678
Sc: 0.979 0.979 0.791
In: 0.279 0.279 0.597
In: 0.721 0.721 0.403

=====

[3]
Here is an optimized crystal structure of AcPN from Alexandria. Energies are from PBE-GGA.

## Properties
The value obtained for the total DFT energy (no corrections) is -6.63 eV/atom. For the offset from the most stable computed form, the calculation gives 0.53 eV per formula unit. The uncorrected formation energy is -679 meV per atom.

Unit cell a=4.659 b=4.659 c=4.659 alpha=125.15 beta=125.15 gamma=81.29
Atoms (fractional coordinates):
Ac: 0.000 0.000 0.000
P: 0.419 0.419 0.000
N: 0.653 0.653 0.000

=====

[4]
Here is an optimized crystal structure of K2ZnRhF6 from Alexandria. Energies are from PBE-GGA.

## Properties
The value obtained for the total DFT energy (no corrections) is -4.37 eV/atom. The uncorrected formation energy is -2169 meV per atom.

Unit cell a=6.025 b=6.025 c=6.025 alpha=121.56 beta=121.56 gamma=87.31
Atoms (fractional coordinates):
K: 0.250 0.750 0.500
K: 0.750 0.250 0.500
Zn: 0.000 0.000 0.000
Rh: 0.500 0.500 0.000
F: 0.227 0.227 0.000
F: 0.251 0.251 0.502
F: 0.251 0.749 0.000
F: 0.749 0.251 0.000
F: 0.749 0.749 0.498
F: 0.773 0.773 0.000

=====

[5]
Here is an optimized crystal structure of Tb3PmEr8 from Alexandria. Energies are from PBE-GGA.

## Properties
The value obtained for the total DFT energy (no corrections) is -4.59 eV/atom. As for the formation energy: 0.01 eV per atom.

Unit cell a=8.395 b=8.395 c=6.252 alpha=111.85 beta=111.85 gamma=83.85
Atoms (fractional coordinates):
Tb: 0.000 0.000 0.000
Tb: 0.250 0.751 0.334
Tb: 0.751 0.250 0.334
Pm: 0.500 0.500 0.000
Er: 0.083 0.584 0.665
Er: 0.166 0.166 0.667
Er: 0.332 0.332 0.334
Er: 0.417 0.919 0.000
Er: 0.584 0.083 0.665
Er: 0.668 0.668 0.669
Er: 0.834 0.834 0.335
Er: 0.919 0.417 0.000

=====

[6]
Here is an optimized crystal structure of Ca2HgTe2 from Alexandria. Energies are from PBE-GGA.

## Properties
The value obtained for the total DFT energy (no corrections) is -3.28 eV/atom. For the offset from the most stable computed form, the calculation gives 0.00 eV per formula unit. The uncorrected formation energy is -1165 meV per atom.

Unit cell a=8.695 b=8.695 c=4.081 alpha=90.00 beta=90.00 gamma=90.00
Atoms (fractional coordinates):
Ca: 0.147 0.353 0.000
Ca: 0.353 0.853 0.000
Ca: 0.647 0.147 0.000
Ca: 0.853 0.647 0.000
Hg: 0.000 0.000 0.000
Hg: 0.500 0.500 0.000
Te: 0.155 0.655 0.500
Te: 0.345 0.155 0.500
Te: 0.655 0.845 0.500
Te: 0.845 0.345 0.500

=====

[7]
Here is an optimized crystal structure of Pm4SiPt from Alexandria. Energies are from PBE-GGA.

## Properties
The value obtained for the total DFT energy (no corrections) is -5.62 eV/atom. The uncorrected formation energy is -544 meV per atom.

Unit cell a=7.236 b=7.051 c=7.165 alpha=90.00 beta=90.84 gamma=90.00
Atoms (fractional coordinates):
Pm: 0.155 0.163 0.340
Pm: 0.155 0.337 0.840
Pm: 0.333 0.664 0.333
Pm: 0.333 0.836 0.833
Pm: 0.667 0.164 0.167
Pm: 0.667 0.336 0.667
Pm: 0.845 0.663 0.160
Pm: 0.845 0.837 0.660
Si: 0.500 0.000 0.500
Si: 0.500 0.500 0.000
Pt: 0.000 0.000 0.000
Pt: 0.000 0.500 0.500

=====

[8]
Here is an optimized crystal structure of TbGd2Mg from Alexandria. Energies are from PBE-GGA.

## Properties
The value obtained for the total DFT energy (no corrections) is -8.63 eV/atom. For the offset from the most stable computed form, the calculation gives 0.00 eV per formula unit. As for the formation energy: -0.03 eV per atom.

Unit cell a=3.591 b=3.591 c=9.378 alpha=90.00 beta=90.00 gamma=90.00
Atoms (fractional coordinates):
Tb: 0.000 0.000 0.000
Gd: 0.500 0.500 0.265
Gd: 0.500 0.500 0.735
Mg: 0.000 0.000 0.500